Computed, not measured: NdAlInPt after structural relaxation at the GGA-PBE level of DFT.

Summary:
As for the crystal system: monoclinic. For the uncorrected energy, the calculation gives -39.37 eV per cell.

Cell: 9.077 9.077 3.981 Å, 90.00 90.00 144.33°
Atoms (fractional coordinates):
Nd (0.921, 0.150, 0.979)
Nd (0.150, 0.921, 0.979)
In (0.621, 0.452, 0.497)
Pt (0.036, 0.535, 0.512)
Pt (0.535, 0.036, 0.512)
In (0.452, 0.621, 0.497)
Al (0.333, 0.741, 0.011)
Al (0.741, 0.333, 0.011)